[1]
## MgCrP3 (SCAN)

Data for MgCrP3 at its PBEsol-relaxed geometry.

abc: 4.442 4.442 4.442
angles: 90.00 90.00 90.00
Fractional positions:
Mg: 0.000 0.000 0.000
Cr: 0.500 0.500 0.500
P: 0.000 0.500 0.500
P: 0.500 0.000 0.500
P: 0.500 0.500 0.000

Values from the calculation:
The energy of formation comes out at 0.309 eV/atom. As for the space-group type: No. 221.

[2]
## MgCr2P (SCAN)

Data for MgCr2P at its PBEsol-relaxed geometry.

abc: 2.680 4.098 4.685
angles: 90.00 93.91 90.00
Fractional positions:
Mg: 0.000 0.000 0.000
Cr: 0.363 0.500 0.743
Cr: 0.637 0.500 0.257
P: 0.500 0.000 0.500

Values from the calculation:
Its energy above the lowest structure with this stoichiometry is 95 kJ/mol of formula units. The energy of formation comes out at 0.296 eV/atom. As for the space-group type: No. 10.

[3]
## MgCrPS2 (SCAN)

Data for MgCrPS2 at its PBEsol-relaxed geometry.

abc: 4.600 4.600 4.335
angles: 90.00 90.00 90.00
Fractional positions:
Mg: 0.000 0.000 0.000
Cr: 0.500 0.500 0.500
P: 0.500 0.500 0.000
S: 0.000 0.500 0.500
S: 0.500 0.000 0.500

Values from the calculation:
The value obtained for the raw formation energy is -116 meV/atom. As for the space-group type: No. 123.